# CeSm2Dy5Y

A relaxed structure of CeSm2Dy5Y (PBE, Alexandria).

## Properties
Symmetry: No. 140
Total moment in μB/cell: 1.925
Energy of formation from the pure elements in meV per atom: 271

Cell lengths 9.888, 9.888, 9.888 Å; angles 128.56, 128.56, 75.72 degrees
Atoms (fractional coordinates):
Ce  0.250  0.750  0.500
Ce  0.750  0.250  0.500
Sm  0.121  0.621  0.743
Sm  0.379  0.121  0.500
Sm  0.621  0.879  0.500
Sm  0.879  0.379  0.257
Dy  0.000  0.000  0.000
Dy  0.061  0.159  0.500
Dy  0.159  0.659  0.098
Dy  0.341  0.439  0.500
Dy  0.439  0.939  0.098
Dy  0.500  0.500  0.000
Dy  0.561  0.061  0.902
Dy  0.659  0.561  0.500
Dy  0.841  0.341  0.902
Dy  0.939  0.841  0.500
Y  0.250  0.250  0.000
Y  0.750  0.750  0.000